Material: ZrAl2Au2
Method: DFT, PBE
State: relaxed

Output
energy relative to the elements = -0.446 eV per atom
spin magnetization = 0.00 μB per formula unit

```
ZrAl2Au2
1.0
-0.310 -1.174 3.795
3.843 0.874 0.584
0.282 5.328 3.762
Au Al Zr
2 2 1
Cartesian
2.384 3.940 5.596 Au
1.431 1.088 2.545 Au
2.946 3.026 3.268 Al
0.869 2.002 4.873 Al
0.000 0.000 0.000 Zr
```



Material: Zr3AlAu2
Method: DFT, PBE
State: relaxed

Output
energy relative to the elements = -0.470 eV per atom
spin magnetization = 0.00 μB per formula unit
energy relative to the lowest polymorph listed for this composition = 0.0237 eV per atom

```
Zr3AlAu2
1.0
8.780 0.000 0.000
4.390 7.604 0.000
4.390 2.535 7.169
Au Zr Al
8 12 4
Cartesian
10.315 4.183 2.958 Au
13.170 5.832 6.003 Au
8.780 5.069 5.464 Au
8.780 6.841 2.958 Au
7.245 4.183 2.958 Au
11.635 8.490 6.003 Au
13.170 7.604 3.497 Au
14.705 8.490 6.003 Au
11.441 6.605 1.412 Zr
8.780 8.141 5.757 Zr
6.119 3.533 5.757 Zr
2.661 1.536 3.204 Zr
11.441 3.533 5.757 Zr
6.119 3.533 0.380 Zr
8.780 1.997 1.412 Zr
6.119 6.605 1.412 Zr
2.661 3.533 0.380 Zr
6.119 1.536 3.204 Zr
4.390 4.532 3.204 Zr
4.390 0.538 0.380 Zr
8.780 2.535 4.481 Al
10.975 6.336 4.481 Al
6.585 6.336 4.481 Al
8.780 5.069 0.896 Al
```



Material: ZrAl3Au4
Method: DFT, PBE
State: relaxed

Output
energy relative to the elements = -0.440 eV per atom
spin magnetization = 0.00 μB per formula unit

```
ZrAl3Au4
1.0
-1.079 -3.872 1.887
3.055 -2.244 2.314
-1.626 1.981 8.205
Au Al Zr
4 3 1
Cartesian
-0.574 -0.749 8.431 Au
0.923 -3.386 3.975 Au
-0.737 0.421 5.544 Au
1.087 -4.556 6.862 Au
0.218 -3.024 9.437 Al
0.131 -1.111 2.969 Al
0.175 -2.068 6.203 Al
0.000 0.000 0.000 Zr
```



Material: ZrAlAu6
Method: DFT, PBE
State: relaxed

Output
energy relative to the elements = -0.336 eV per atom
spin magnetization = 0.00 μB per formula unit

```
ZrAlAu6
1.0
4.206 0.000 1.148
1.917 4.542 1.255
0.182 0.098 7.613
Au Al Zr
6 1 1
Cartesian
4.515 2.741 8.298 Au
3.596 3.576 3.383 Au
2.828 3.966 6.197 Au
3.477 0.673 3.819 Au
1.791 1.898 1.718 Au
2.709 1.064 6.634 Au
0.000 0.000 0.000 Al
1.050 2.320 4.434 Zr
```



Material: Zr2Al7Au12
Method: DFT, PBE
State: relaxed

Output
energy relative to the elements = -0.364 eV per atom
spin magnetization = 0.00 μB per formula unit

```
Zr2Al7Au12
1.0
3.446 0.000 0.000
0.000 9.752 -5.630
0.000 0.000 11.260
Au Zr Al
12 2 7
Cartesian
0.845 6.053 -2.409 Au
0.850 1.542 9.317 Au
0.845 8.811 0.816 Au
0.850 7.297 5.266 Au
2.601 5.112 4.037 Au
2.601 0.940 4.814 Au
0.850 0.912 2.307 Au
0.845 4.639 1.593 Au
2.596 8.840 3.323 Au
2.601 3.699 8.039 Au
2.596 8.210 -3.687 Au
2.596 2.454 0.364 Au
0.863 3.251 5.630 Zr
2.583 6.501 0.000 Zr
2.573 2.819 2.984 Al
2.573 5.758 6.580 Al
2.573 1.174 7.327 Al
0.874 6.932 2.646 Al
0.874 3.994 -0.950 Al
1.723 0.000 0.000 Al
0.874 8.577 -1.697 Al
```



Material: ZrAl2Au2
Method: DFT, PBE
State: relaxed

Output
energy relative to the elements = -0.365 eV per atom
spin magnetization = 0.00 μB per formula unit

```
ZrAl2Au2
1.0
7.620 0.000 0.000
0.000 7.620 0.000
0.000 0.000 3.123
Au Al Zr
4 4 2
Cartesian
0.997 2.813 0.000 Au
4.807 0.997 0.000 Au
2.813 6.623 0.000 Au
6.623 4.807 0.000 Au
2.515 1.295 1.562 Al
5.105 6.325 1.562 Al
6.325 2.515 1.562 Al
1.295 5.105 1.562 Al
0.000 0.000 0.000 Zr
3.810 3.810 0.000 Zr
```



Material: ZrAlAu2
Method: DFT, PBE
State: relaxed

Output
energy relative to the elements = -0.154 eV per atom
spin magnetization = 0.00 μB per formula unit

```
ZrAlAu2
1.0
4.207 0.000 0.000
0.000 4.207 0.000
2.103 2.103 9.245
Au Zr Al
4 2 2
Cartesian
3.155 3.254 6.934 Au
1.150 3.155 2.311 Au
3.056 1.052 2.311 Au
5.258 5.159 6.934 Au
0.000 0.000 0.000 Zr
4.207 2.103 4.622 Zr
2.103 2.103 0.000 Al
2.103 4.207 4.622 Al
```



Material: Zr2AlAu4
Method: DFT, PBE
State: relaxed

Output
energy relative to the elements = -0.451 eV per atom
spin magnetization = 0.00 μB per formula unit

```
Zr2AlAu4
1.0
4.993 0.573 0.897
2.764 4.198 0.897
-0.371 -0.228 6.710
Zr Al Au
2 1 4
Cartesian
5.209 3.203 6.904 Zr
2.177 1.339 1.600 Zr
0.000 0.000 0.000 Al
4.374 2.690 2.850 Au
6.520 4.009 4.397 Au
3.011 1.852 5.654 Au
0.866 0.532 4.107 Au
```



Question: Which formula does entry 5 have?
Answer: Zr2Al7Au12



Question: Number 1 is which compound?
Answer: ZrAl2Au2